# 1
DFT (PBE) results for a relaxed Mn2TcSe crystal.

Results
**Energy**: -7.743 eV/atom
**Formation energy (no corrections)**: 0.304 eV per atom
**M_tot**: 6.0 μB/f.u.

a b c (Å): 2.825 2.825 7.925
angles (deg): 90.00 90.00 107.78
Element x y z (fractional)
Mn: 0.000 0.000 0.244
Mn: 0.000 0.000 0.756
Tc: 0.500 0.500 0.000
Se: 0.500 0.500 0.500



# 2
DFT (PBE) results for a relaxed CaCuAu4 crystal.

Results
**Energy**: -3.530 eV/atom
**DFT formation energy**: -0.329 eV per atom
**M_tot**: 0.0 μB/f.u.
**Energy above the lowest structure with this stoichiometry**: 0.0242 eV/atom

a b c (Å): 8.253 8.253 7.158
angles (deg): 90.00 90.00 151.26
Element x y z (fractional)
Ca: 0.120 0.880 0.750
Ca: 0.880 0.120 0.250
Cu: 0.234 0.766 0.250
Cu: 0.766 0.234 0.750
Au: 0.068 0.932 0.250
Au: 0.322 0.678 0.548
Au: 0.322 0.678 0.952
Au: 0.500 0.500 0.000
Au: 0.500 0.500 0.500
Au: 0.678 0.322 0.048
Au: 0.678 0.322 0.452
Au: 0.932 0.068 0.750



# 3
DFT (PBE) results for a relaxed Sc3BiSb crystal.

Results
**Energy**: -5.842 eV/atom
**Formation energy (no corrections)**: -0.443 eV per atom
**M_tot**: 1.6 μB/f.u.
**Energy above the lowest structure with this stoichiometry**: 0.0000 eV/atom

a b c (Å): 4.209 8.464 8.464
angles (deg): 66.86 90.00 90.00
Element x y z (fractional)
Sc: 0.000 0.000 0.000
Sc: 0.000 0.287 0.287
Sc: 0.500 0.345 0.707
Sc: 0.500 0.578 0.940
Sc: 0.500 0.707 0.345
Sc: 0.500 0.940 0.578
Bi: 0.000 0.643 0.643
Bi: 0.500 0.143 0.143
Sb: 0.000 0.142 0.643
Sb: 0.000 0.643 0.142



# 4
DFT (PBE) results for a relaxed KTeIrN2 crystal.

Results
**Energy**: -3.158 eV/atom
**Formation energy (no corrections)**: 2.793 eV per atom
**M_tot**: 7.2 μB/f.u.
**Energy above the lowest structure with this stoichiometry**: 1.8799 eV/atom

a b c (Å): 4.526 4.526 6.861
angles (deg): 90.00 90.00 90.00
Element x y z (fractional)
K: 0.000 0.000 0.000
Te: 0.000 0.000 0.500
Ir: 0.500 0.500 0.500
N: 0.000 0.500 0.000
N: 0.500 0.000 0.000



# 5
DFT (PBE) results for a relaxed SrAcSbPd crystal.

Results
**Energy**: -4.577 eV/atom
**Formation energy (no corrections)**: -0.800 eV per atom
**M_tot**: 0.0 μB/f.u.

a b c (Å): 5.566 5.566 5.566
angles (deg): 60.00 60.00 60.00
Element x y z (fractional)
Sr: 0.000 0.000 0.000
Ac: 0.500 0.500 0.500
Sb: 0.750 0.750 0.750
Pd: 0.250 0.250 0.250



# 6
DFT (PBE) results for a relaxed La2UAs3Pt4 crystal.

Results
**Energy**: -6.774 eV/atom
**DFT formation energy**: -0.848 eV per atom
**M_tot**: 2.7 μB/f.u.

a b c (Å): 4.310 4.310 11.515
angles (deg): 90.00 90.00 90.00
Element x y z (fractional)
La: 0.000 0.500 0.220
La: 0.500 0.000 0.780
U: 0.000 0.000 0.500
As: 0.000 0.500 0.876
As: 0.500 0.000 0.124
As: 0.500 0.500 0.500
Pt: 0.000 0.000 0.000
Pt: 0.000 0.500 0.661
Pt: 0.500 0.000 0.339
Pt: 0.500 0.500 0.000



# 7
DFT (PBE) results for a relaxed Te5C crystal.

Results
**Energy**: -3.513 eV/atom
**Formation energy (no corrections)**: 0.642 eV per atom
**M_tot**: 0.0 μB/f.u.
**Energy above the lowest structure with this stoichiometry**: 0.0000 eV/atom

a b c (Å): 9.704 9.704 9.020
angles (deg): 106.20 106.20 20.63
Element x y z (fractional)
Te: 0.000 0.000 0.000
Te: 0.355 0.355 0.863
Te: 0.537 0.537 0.379
Te: 0.636 0.636 0.866
Te: 0.735 0.735 0.695
C: 0.029 0.029 0.239



# 8
DFT (PBE) results for a relaxed LaPr2Lu crystal.

Results
**Energy**: -4.725 eV/atom
**DFT formation energy**: 0.027 eV per atom
**M_tot**: 0.0 μB/f.u.
**Energy above the lowest structure with this stoichiometry**: 0.0145 eV/atom

a b c (Å): 3.666 3.666 10.332
angles (deg): 90.00 90.00 90.00
Element x y z (fractional)
La: 0.000 0.000 0.000
Pr: 0.500 0.500 0.259
Pr: 0.500 0.500 0.741
Lu: 0.000 0.000 0.500



# 9
DFT (PBE) results for a relaxed Ba2NaCoH6 crystal.

Results
**Energy**: -3.558 eV/atom
**M_tot**: 0.2 μB/f.u.

a b c (Å): 5.613 5.613 5.563
angles (deg): 90.00 90.00 120.00
Element x y z (fractional)
Ba: 0.333 0.667 0.314
Ba: 0.667 0.333 0.686
Na: 0.000 0.000 0.000
Co: 0.000 0.000 0.500
H: 0.139 0.279 0.667
H: 0.139 0.861 0.667
H: 0.279 0.139 0.333
H: 0.721 0.861 0.667
H: 0.861 0.139 0.333
H: 0.861 0.721 0.333



# 10
DFT (PBE) results for a relaxed HfMg2ScPd4 crystal.

Results
**Energy**: -5.809 eV/atom
**DFT formation energy**: -0.779 eV per atom
**M_tot**: 0.0 μB/f.u.

a b c (Å): 8.013 8.013 8.013
angles (deg): 33.32 33.32 33.32
Element x y z (fractional)
Hf: 0.000 0.000 0.000
Mg: 0.249 0.249 0.249
Mg: 0.751 0.751 0.751
Sc: 0.500 0.500 0.500
Pd: 0.123 0.123 0.123
Pd: 0.373 0.373 0.373
Pd: 0.627 0.627 0.627
Pd: 0.877 0.877 0.877



# 11
DFT (PBE) results for a relaxed NbMoRh crystal.

Results
**Energy**: -9.580 eV/atom
**DFT formation energy**: -0.162 eV per atom
**M_tot**: 0.0 μB/f.u.
**Energy above the lowest structure with this stoichiometry**: 0.0023 eV/atom

a b c (Å): 6.519 6.519 6.519
angles (deg): 155.35 155.35 35.15
Element x y z (fractional)
Nb: 0.000 0.000 0.000
Mo: 0.682 0.682 0.000
Rh: 0.333 0.333 0.000